Here is a geometry-optimized Ti8Sn2Ir structure from the Alexandria database. Energies are from PBE-GGA.

Raw total energy: -7.611 eV/atom
Formation enthalpy at 0 K: -336 meV/atom
M_tot: 0.0 μB per formula unit

a b c (Å): 4.6114 6.2828 13.5658
angles (deg): 90.00 90.00 90.00
Space group Immm (No. 71)
Inequivalent atoms, fractional coordinates:
1 Ti 0.0000 0.0000 0.1711 x4
2 Ti 0.0000 0.2396 0.3612 x8
3 Ti 0.0000 0.2545 0.0000 x4
4 Sn 0.0000 0.5000 0.1854 x4
5 Ir 0.0000 0.5000 0.5000 x2